Entry 1:
PaFeRh: optimized geometry, PBE-GGA.

Output
Energy above the lowest structure with this stoichiometry = 303 meV/atom
Symmetry = I4/mmm
Energy of formation = -0.537 eV per formula unit

Cell and atoms, written as POSCAR:
```
PaFeRh
1.0
3.609 0.000 0.000
0.000 3.609 0.000
0.000 0.000 17.584
Pa Fe Rh
4 4 4
direct
0.000 0.000 0.135
0.000 0.000 0.865
0.500 0.500 0.365
0.500 0.500 0.635
0.000 0.000 0.266
0.000 0.000 0.734
0.500 0.500 0.234
0.500 0.500 0.766
0.000 0.000 0.426
0.000 0.000 0.574
0.500 0.500 0.074
0.500 0.500 0.926
```

***

Entry 2:
Sc2Br: optimized geometry, PBE-GGA.

Output
Energy above the lowest structure with this stoichiometry = 95 meV/atom
Symmetry = C2/m
Uncorrected formation energy = -570 meV per atom

Cell and atoms, written as POSCAR:
```
Sc2Br
1.0
12.648 0.000 0.000
0.000 3.422 0.000
-3.188 0.000 6.772
Sc Br
8 4
direct
0.019 0.000 0.321
0.210 0.500 0.658
0.290 0.000 0.342
0.481 0.500 0.679
0.519 0.500 0.321
0.710 0.000 0.658
0.790 0.500 0.342
0.981 0.000 0.679
0.129 0.500 0.978
0.371 0.000 0.022
0.629 0.000 0.978
0.871 0.500 0.022
```

***

Entry 3:
ZnSbTe2N: optimized geometry, PBE-GGA.

Output
Energy above the lowest structure with this stoichiometry = 0 meV/atom
Symmetry = P4/mmm
Uncorrected formation energy = 716 meV per atom

Cell and atoms, written as POSCAR:
```
ZnSbTe2N
1.0
5.629 0.000 0.000
0.000 5.629 0.000
0.000 0.000 3.753
Zn Sb Te N
1 1 2 1
direct
0.000 0.000 0.000
0.500 0.500 0.500
0.000 0.500 0.000
0.500 0.000 0.000
0.000 0.000 0.500
```

***

Entry 4:
Dy3AgC: optimized geometry, PBE-GGA.

Output
Energy above the lowest structure with this stoichiometry = 0 meV/atom
Symmetry = Pnma
Energy of formation = -1.361 eV per formula unit

Cell and atoms, written as POSCAR:
```
Dy3AgC
1.0
8.809 0.000 0.000
0.000 3.613 0.000
0.000 0.000 14.497
Dy Ag C
12 4 4
direct
0.012 0.250 0.101
0.180 0.250 0.519
0.201 0.750 0.310
0.299 0.250 0.810
0.320 0.750 0.019
0.488 0.750 0.601
0.512 0.250 0.399
0.680 0.250 0.981
0.701 0.750 0.190
0.799 0.250 0.690
0.820 0.750 0.481
0.988 0.750 0.899
0.090 0.750 0.683
0.410 0.250 0.183
0.590 0.750 0.817
0.910 0.250 0.317
0.160 0.250 0.953
0.340 0.750 0.453
0.660 0.250 0.547
0.840 0.750 0.047
```

***

Entry 5:
K5Ag3: optimized geometry, PBE-GGA.

Output
Energy above the lowest structure with this stoichiometry = 0 meV/atom
Symmetry = P6_3/mcm
Energy of formation = 0.426 eV per formula unit

Cell and atoms, written as POSCAR:
```
K5Ag3
1.0
10.222 0.000 0.000
-5.111 8.852 0.000
0.000 0.000 7.322
K Ag
10 6
direct
0.000 0.259 0.250
0.000 0.741 0.750
0.259 0.000 0.250
0.259 0.259 0.750
0.333 0.667 0.000
0.333 0.667 0.500
0.667 0.333 0.000
0.667 0.333 0.500
0.741 0.000 0.750
0.741 0.741 0.250
0.000 0.396 0.750
0.000 0.604 0.250
0.396 0.000 0.750
0.396 0.396 0.250
0.604 0.000 0.250
0.604 0.604 0.750
```

***

Entry 6:
TaCrAg2: optimized geometry, PBE-GGA.

Output
Energy above the lowest structure with this stoichiometry = 734 meV/atom
Symmetry = I-42d
Energy of formation = 4.172 eV per formula unit

Cell and atoms, written as POSCAR:
```
TaCrAg2
1.0
7.400 0.000 0.000
0.000 7.400 0.000
0.000 0.000 5.131
Ta Cr Ag
4 4 8
direct
0.000 0.000 0.000
0.000 0.500 0.250
0.500 0.000 0.750
0.500 0.500 0.500
0.000 0.000 0.500
0.000 0.500 0.750
0.500 0.000 0.250
0.500 0.500 0.000
0.226 0.250 0.625
0.250 0.726 0.875
0.250 0.774 0.375
0.274 0.250 0.125
0.726 0.750 0.125
0.750 0.226 0.375
0.750 0.274 0.875
0.774 0.750 0.625
```

***

Entry 7:
Pm2ZrAg: optimized geometry, PBE-GGA.

Output
Energy above the lowest structure with this stoichiometry = 0 meV/atom
Symmetry = P4/mmm
Energy of formation = -0.241 eV per formula unit

Cell and atoms, written as POSCAR:
```
Pm2ZrAg
1.0
3.506 0.000 0.000
0.000 3.506 0.000
0.000 0.000 8.809
Pm Zr Ag
2 1 1
direct
0.000 0.000 0.238
0.000 0.000 0.762
0.500 0.500 0.500
0.500 0.500 0.000
```

***

Entry 8:
RbZn2CdF8: optimized geometry, PBE-GGA.

Output
Symmetry = R-3
Uncorrected formation energy = -2104 meV per atom

Cell and atoms, written as POSCAR:
```
RbZn2CdF8
1.0
2.790 1.611 7.599
-2.790 1.611 7.599
0.000 -3.222 7.599
Rb Zn Cd F
1 2 1 8
direct
0.000 0.000 0.000
0.244 0.244 0.244
0.756 0.756 0.756
0.500 0.500 0.500
0.111 0.450 0.771
0.229 0.888 0.550
0.327 0.327 0.327
0.450 0.771 0.111
0.550 0.229 0.889
0.673 0.673 0.673
0.771 0.111 0.450
0.889 0.550 0.229
```

***

no.,M_tot (μB per cell),N(E_F) (states/eV/f.u.)
1,5.6,2.9
2,0.0,2.5
3,1.7,3.5
4,0.0,5.0
5,0.0,5.2
6,0.0,3.4
7,0.0,3.4
8,1.2,13.4